No. 1
Computed, not measured: an optimized crystal structure of PmCu4 at the PBE level of DFT.

- DFT formation energy (eV per atom) = -0.11
- space group = C2/m (12)
- mass density (g/cm3) = 8.01
- DOS at the Fermi energy (states/eV/atom) = 0.391

abc: 4.593 4.593 4.830
angles: 115.66 115.66 79.14
Fractional positions:
1 Pm 0.000 0.000 0.000
2 Cu 0.295 0.705 0.500
3 Cu 0.310 0.310 0.748
4 Cu 0.690 0.690 0.252
5 Cu 0.705 0.295 0.500

No. 2
Computed, not measured: an optimized crystal structure of ReAgOs2 at the PBE level of DFT.

- DFT formation energy (eV per atom) = 0.65
- space group = Imm2 (44)
- mass density (g/cm3) = 17.35
- DOS at the Fermi energy (states/eV/atom) = 0.770

abc: 5.793 5.793 5.793
angles: 152.74 133.21 54.99
Fractional positions:
1 Re 0.000 0.000 0.000
2 Ag 0.303 0.803 0.500
3 Os 0.570 0.570 0.000
4 Os 0.781 0.281 0.500

No. 3
Computed, not measured: an optimized crystal structure of LiTmCdHg4 at the PBE level of DFT.

- DFT formation energy (eV per atom) = -0.04
- space group = Cmcm (63)
- mass density (g/cm3) = 8.64
- DOS at the Fermi energy (states/eV/atom) = 0.639

abc: 8.948 8.948 5.681
angles: 90.00 90.00 112.76
Fractional positions:
1 Li 0.140 0.860 0.750
2 Li 0.860 0.140 0.250
3 Tm 0.354 0.646 0.750
4 Tm 0.646 0.354 0.250
5 Cd 0.244 0.756 0.250
6 Cd 0.756 0.244 0.750
7 Hg 0.000 0.500 0.000
8 Hg 0.000 0.500 0.500
9 Hg 0.045 0.955 0.250
10 Hg 0.446 0.554 0.250
11 Hg 0.500 0.000 0.000
12 Hg 0.500 0.000 0.500
13 Hg 0.554 0.446 0.750
14 Hg 0.955 0.045 0.750

No. 4
Computed, not measured: an optimized crystal structure of KTm2Hf2O7 at the PBE level of DFT.

- space group = Immm (71)
- uncorrected formation energy (kcal/mol of atoms) = -71.83
- mass density (g/cm3) = 8.17
- DOS at the Fermi energy (states/eV/atom) = 0.131

abc: 9.628 9.628 9.628
angles: 154.44 153.45 37.19
Fractional positions:
1 K 0.000 0.000 0.000
2 Tm 0.241 0.741 0.500
3 Tm 0.759 0.259 0.500
4 Hf 0.391 0.391 0.000
5 Hf 0.609 0.609 0.000
6 O 0.120 0.620 0.500
7 O 0.270 0.270 0.000
8 O 0.373 0.873 0.500
9 O 0.500 0.500 0.000
10 O 0.627 0.127 0.500
11 O 0.730 0.730 0.000
12 O 0.880 0.380 0.500

No. 5
Computed, not measured: an optimized crystal structure of Er4Cd2AgHg at the PBE level of DFT.

- DFT formation energy (eV per atom) = -0.36
- space group = R-3m (166)
- mass density (g/cm3) = 10.01
- DOS at the Fermi energy (states/eV/atom) = 0.634

abc: 9.015 9.015 9.015
angles: 33.56 33.56 33.56
Fractional positions:
1 Er 0.124 0.124 0.124
2 Er 0.374 0.374 0.374
3 Er 0.626 0.626 0.626
4 Er 0.876 0.876 0.876
5 Cd 0.250 0.250 0.250
6 Cd 0.750 0.750 0.750
7 Ag 0.000 0.000 0.000
8 Hg 0.500 0.500 0.500

No. 6
Computed, not measured: an optimized crystal structure of Tb6Pr2Dy at the PBE level of DFT.

- DFT formation energy (eV per atom) = 0.11
- space group = C2/c (15)
- mass density (g/cm3) = 7.86
- DOS at the Fermi energy (states/eV/atom) = 1.557

abc: 10.383 10.383 6.219
angles: 91.98 91.98 118.06
Fractional positions:
1 Tb 0.010 0.163 0.493
2 Tb 0.080 0.595 0.736
3 Tb 0.163 0.010 0.993
4 Tb 0.327 0.501 0.495
5 Tb 0.405 0.920 0.764
6 Tb 0.499 0.673 0.005
7 Tb 0.501 0.327 0.995
8 Tb 0.595 0.080 0.236
9 Tb 0.673 0.499 0.505
10 Tb 0.837 0.990 0.007
11 Tb 0.920 0.405 0.264
12 Tb 0.990 0.837 0.507
13 Pr 0.160 0.345 0.987
14 Pr 0.345 0.160 0.487
15 Pr 0.655 0.840 0.513
16 Pr 0.840 0.655 0.013
17 Dy 0.242 0.758 0.250
18 Dy 0.758 0.242 0.750

No. 7
Computed, not measured: an optimized crystal structure of Sc2Se2Br at the PBE level of DFT.

- space group = P4/mbm (127)
- uncorrected formation energy (kcal/mol of atoms) = -34.62
- mass density (g/cm3) = 5.21
- DOS at the Fermi energy (states/eV/atom) = 0.299

abc: 7.632 7.632 3.589
angles: 90.00 90.00 90.00
Fractional positions:
1 Sc 0.148 0.352 0.000
2 Sc 0.352 0.852 0.000
3 Sc 0.648 0.148 0.000
4 Sc 0.852 0.648 0.000
5 Se 0.141 0.641 0.500
6 Se 0.359 0.141 0.500
7 Se 0.641 0.859 0.500
8 Se 0.859 0.359 0.500
9 Br 0.000 0.000 0.000
10 Br 0.500 0.500 0.000

No. 8
Computed, not measured: an optimized crystal structure of Ho4MgOs at the PBE level of DFT.

- DFT formation energy (eV per atom) = -0.20
- space group = F-43m (216)
- mass density (g/cm3) = 9.07
- DOS at the Fermi energy (states/eV/atom) = 1.182

abc: 9.674 9.674 9.674
angles: 60.00 60.00 60.00
Fractional positions:
1 Ho 0.188 0.188 0.812
2 Ho 0.188 0.812 0.188
3 Ho 0.188 0.812 0.812
4 Ho 0.344 0.344 0.344
5 Ho 0.344 0.344 0.969
6 Ho 0.344 0.969 0.344
7 Ho 0.559 0.559 0.941
8 Ho 0.559 0.941 0.559
9 Ho 0.559 0.941 0.941
10 Ho 0.812 0.188 0.188
11 Ho 0.812 0.188 0.812
12 Ho 0.812 0.812 0.188
13 Ho 0.941 0.559 0.559
14 Ho 0.941 0.559 0.941
15 Ho 0.941 0.941 0.559
16 Ho 0.969 0.344 0.344
17 Mg 0.262 0.579 0.579
18 Mg 0.579 0.262 0.579
19 Mg 0.579 0.579 0.262
20 Mg 0.579 0.579 0.579
21 Os 0.139 0.139 0.139
22 Os 0.139 0.139 0.583
23 Os 0.139 0.583 0.139
24 Os 0.583 0.139 0.139

No. 9
Computed, not measured: an optimized crystal structure of RbRePb3 at the PBE level of DFT.

- DFT formation energy (eV per atom) = 2.30
- space group = Pm-3m (221)
- mass density (g/cm3) = 6.75
- DOS at the Fermi energy (states/eV/atom) = 0.914

abc: 6.034 6.034 6.034
angles: 90.00 90.00 90.00
Fractional positions:
1 Rb 0.000 0.000 0.000
2 Re 0.500 0.500 0.500
3 Pb 0.000 0.000 0.500
4 Pb 0.000 0.500 0.000
5 Pb 0.500 0.000 0.000

No. 10
Computed, not measured: an optimized crystal structure of TlInGeTe3 at the PBE level of DFT.

- space group = P2_1/m (11)
- uncorrected formation energy (kcal/mol of atoms) = -5.05
- mass density (g/cm3) = 6.17
- DOS at the Fermi energy (states/eV/atom) = 0.071

abc: 8.867 4.491 10.932
angles: 90.00 106.78 90.00
Fractional positions:
1 Tl 0.233 0.250 0.236
2 Tl 0.767 0.750 0.764
3 In 0.096 0.250 0.640
4 In 0.904 0.750 0.360
5 Ge 0.331 0.750 0.897
6 Ge 0.669 0.250 0.103
7 Te 0.082 0.250 0.890
8 Te 0.227 0.750 0.539
9 Te 0.466 0.750 0.155
10 Te 0.534 0.250 0.845
11 Te 0.773 0.250 0.461
12 Te 0.918 0.750 0.110

No. 11
Computed, not measured: an optimized crystal structure of Ta2VSiSn at the PBE level of DFT.

- space group = P4/mmm (123)
- uncorrected formation energy (kcal/mol of atoms) = 46.21
- mass density (g/cm3) = 7.60
- DOS at the Fermi energy (states/eV/atom) = 1.579

abc: 5.047 5.047 4.799
angles: 90.00 90.00 90.00
Fractional positions:
1 Ta 0.000 0.500 0.000
2 Ta 0.500 0.000 0.000
3 V 0.000 0.000 0.500
4 Si 0.500 0.500 0.500
5 Sn 0.000 0.000 0.000

No. 12
Computed, not measured: an optimized crystal structure of InAgSn at the PBE level of DFT.

- DFT formation energy (eV per atom) = 0.06
- space group = P-1 (2)
- mass density (g/cm3) = 7.67
- DOS at the Fermi energy (states/eV/atom) = 0.366

abc: 3.995 6.388 6.904
angles: 117.51 106.64 90.01
Fractional positions:
1 In 0.195 0.192 0.385
2 In 0.805 0.808 0.615
3 Ag 0.129 0.629 0.257
4 Ag 0.871 0.371 0.743
5 Sn 0.499 0.759 0.999
6 Sn 0.501 0.241 0.001